Computed, not measured: crystalline ErTmLu4 at its relaxed geometry at the PBE-GGA level of DFT.

Output
magnetic moment	0.003	μB/atom
DOS at the Fermi energy	45.81	states/eV per cell
energy of formation	272	meV/atom
E_tot	-101.94	eV/cell

Lattice parameters (Å, degrees): 9.089 9.089 9.089 90.00 90.00 90.00
Space group F-43m (No. 216)
One atom of each set of equivalent atoms:
Er1 0.000 0.000 0.000
Tm1 0.250 0.250 0.750
Lu1 0.125 0.125 0.375